No. 1
A plane-wave DFT calculation with PBE was carried out for an optimized crystal structure of La6TcSn2N.

a = 7.5284 Å, b = 7.5282 Å, c = 7.5457 Å
α = 59.96°, β = 59.95°, γ = 89.96°
Element x y z (fractional)
1 La 0.2601 0.2601 0.4814
2 La 0.7412 0.7403 0.0010
3 La 0.2594 0.7414 0.0000
4 La 0.7406 0.2586 0.0000
5 La 0.2588 0.2597 0.9990
6 La 0.7399 0.7399 0.5186
7 Tc 0.0000 0.0000 0.0000
8 Sn 0.7503 0.2497 0.5000
9 Sn 0.2497 0.7503 0.5000
10 N 0.5000 0.5000 0.0000

symmetry: Immm
V: 302 Å³ per cell
formation energy from raw total energies: -0.52 eV/atom

No. 2
A plane-wave DFT calculation with PBE was carried out for an optimized crystal structure of LaSnTeN2.

a = 4.4121 Å, b = 4.4121 Å, c = 6.6820 Å
α = 90.00°, β = 90.00°, γ = 90.00°
Site moments in Bohr magnetons follow the coordinates.
Element x y z (fractional)
1 N 0.0000 0.5000 0.0000  0.13
2 N 0.5000 0.0000 0.0000  0.13
3 Te 0.0000 0.0000 0.5000  0.00
4 Sn 0.5000 0.5000 0.5000  0.00
5 La 0.0000 0.0000 0.0000  0.00

symmetry: P4/mmm
relative energy among the computed polymorphs: 152 meV/atom
V: 130 Å³ per cell
formation energy from raw total energies: 0.56 eV/atom

No. 3
A plane-wave DFT calculation with PBE was carried out for an optimized crystal structure of LaSnTeN2.

a = 4.3812 Å, b = 4.3812 Å, c = 5.7016 Å
α = 90.00°, β = 90.00°, γ = 90.00°
Site moments in Bohr magnetons follow the coordinates.
Element x y z (fractional)
1 N 0.0000 0.5000 0.0000  0.41
2 N 0.5000 0.0000 0.0000  0.41
3 Te 0.0000 0.0000 0.5000  0.00
4 Sn 0.0000 0.0000 0.0000  -0.04
5 La 0.5000 0.5000 0.5000  -0.04

symmetry: P4/mmm
relative energy among the computed polymorphs: 0 meV/atom
V: 109 Å³ per cell
formation energy from raw total energies: 0.41 eV/atom

No. 4
A plane-wave DFT calculation with PBE was carried out for an optimized crystal structure of La4SnTeN.

a = 6.7934 Å, b = 6.8831 Å, c = 9.5116 Å
α = 90.00°, β = 110.92°, γ = 90.00°
Element x y z (fractional)
1 La 0.9186 0.2500 0.8373
2 La 0.4242 0.7500 0.8485
3 La 0.0814 0.7500 0.1627
4 La 0.5758 0.2500 0.1515
5 La 0.5000 0.5000 0.5000
6 La 0.0000 0.0000 0.5000
7 La 0.5000 0.0000 0.5000
8 La 0.0000 0.5000 0.5000
9 Sn 0.1087 0.2500 0.2174
10 Sn 0.8913 0.7500 0.7826
11 Te 0.6107 0.7500 0.2214
12 Te 0.3893 0.2500 0.7786
13 N 0.2159 0.7500 0.4317
14 N 0.7841 0.2500 0.5683

symmetry: Cmcm
V: 415 Å³ per cell
formation energy from raw total energies: -1.07 eV/atom

No. 5
A plane-wave DFT calculation with PBE was carried out for an optimized crystal structure of La4TlSnN.

a = 7.0541 Å, b = 7.0658 Å, c = 9.2756 Å
α = 90.00°, β = 112.35°, γ = 90.00°
Element x y z (fractional)
1 La 0.9220 0.2500 0.8440
2 La 0.4138 0.7500 0.8276
3 La 0.0780 0.7500 0.1560
4 La 0.5862 0.2500 0.1724
5 La 0.5000 0.5000 0.5000
6 La 0.0000 0.0000 0.5000
7 La 0.5000 0.0000 0.5000
8 La 0.0000 0.5000 0.5000
9 Tl 0.6105 0.7500 0.2210
10 Tl 0.3895 0.2500 0.7790
11 Sn 0.1107 0.2500 0.2215
12 Sn 0.8893 0.7500 0.7785
13 N 0.2685 0.7500 0.5370
14 N 0.7315 0.2500 0.4630

symmetry: Cmcm
V: 428 Å³ per cell
formation energy from raw total energies: -0.78 eV/atom

No. 6
A plane-wave DFT calculation with PBE was carried out for an optimized crystal structure of La2VSnN.

a = 5.3175 Å, b = 5.3175 Å, c = 4.0087 Å
α = 90.00°, β = 90.00°, γ = 90.00°
Site moments in Bohr magnetons follow the coordinates.
Element x y z (fractional)
1 N 0.0000 0.0000 0.0000  -0.09
2 V 0.0000 0.0000 0.5000  1.68
3 Sn 0.5000 0.5000 0.5000  -0.05
4 La 0.0000 0.5000 0.0000  0.00
5 La 0.5000 0.0000 0.0000  0.00

symmetry: P4/mmm
V: 113 Å³ per cell
formation energy from raw total energies: -0.76 eV/atom

No. 7
A plane-wave DFT calculation with PBE was carried out for an optimized crystal structure of LaY2SnN4.

a = 3.6060 Å, b = 6.2145 Å, c = 12.0963 Å
α = 90.00°, β = 90.00°, γ = 106.87°
Element x y z (fractional)
1 La 0.1099 0.2199 0.7500
2 La 0.8901 0.7801 0.2500
3 Y 0.3710 0.7420 0.5366
4 Y 0.6290 0.2580 0.0366
5 Y 0.6290 0.2580 0.4634
6 Y 0.3710 0.7420 0.9634
7 Sn 0.8480 0.6960 0.7500
8 Sn 0.1520 0.3040 0.2500
9 N 0.2670 0.5341 0.1200
10 N 0.7330 0.4659 0.6200
11 N 0.7330 0.4659 0.8800
12 N 0.2670 0.5341 0.3800
13 N 0.0000 0.0000 0.5000
14 N 0.0000 0.0000 0.0000
15 N 0.4425 0.8850 0.7500
16 N 0.5575 0.1150 0.2500

symmetry: Cmcm
V: 259 Å³ per cell
formation energy from raw total energies: -0.91 eV/atom

No. 8
A plane-wave DFT calculation with PBE was carried out for an optimized crystal structure of La12ZnSn4N3.

a = 9.0669 Å, b = 9.0669 Å, c = 9.0669 Å
α = 109.47°, β = 109.47°, γ = 109.47°
Element x y z (fractional)
1 La 0.2500 0.5000 0.7500
2 La 0.7292 0.0000 0.7292
3 La 0.2708 0.0000 0.2708
4 La 0.7500 0.5000 0.2500
5 La 0.7292 0.7292 0.0000
6 La 0.2708 0.2708 0.0000
7 La 0.7500 0.2500 0.5000
8 La 0.2500 0.7500 0.5000
9 La 0.5000 0.2500 0.7500
10 La 0.0000 0.7292 0.7292
11 La 0.5000 0.7500 0.2500
12 La 0.0000 0.2708 0.2708
13 Zn 0.0000 0.0000 0.0000
14 Sn 0.5000 0.5000 0.5000
15 Sn 0.0000 0.0000 0.5000
16 Sn 0.5000 0.0000 0.0000
17 Sn 0.0000 0.5000 0.0000
18 N 0.5000 0.0000 0.5000
19 N 0.5000 0.5000 0.0000
20 N 0.0000 0.5000 0.5000

symmetry: Im-3m
V: 574 Å³ per cell
formation energy from raw total energies: -0.77 eV/atom

No. 9
A plane-wave DFT calculation with PBE was carried out for an optimized crystal structure of La2ZnSnN.

a = 5.1293 Å, b = 5.1293 Å, c = 4.4445 Å
α = 90.00°, β = 90.00°, γ = 90.00°
Element x y z (fractional)
1 Zn 0.0000 0.0000 0.5000
2 N 0.0000 0.0000 0.0000
3 Sn 0.5000 0.5000 0.5000
4 La 0.0000 0.5000 0.0000
5 La 0.5000 0.0000 0.0000

symmetry: P4/mmm
V: 117 Å³ per cell
formation energy from raw total energies: -0.73 eV/atom

No. 10
A plane-wave DFT calculation with PBE was carried out for an optimized crystal structure of La2ZrSnN.

a = 5.2277 Å, b = 5.2277 Å, c = 4.4525 Å
α = 90.00°, β = 90.00°, γ = 90.00°
Site moments in Bohr magnetons follow the coordinates.
Element x y z (fractional)
1 N 0.0000 0.0000 0.0000  -0.01
2 Sn 0.5000 0.5000 0.5000  -0.02
3 Zr 0.0000 0.0000 0.5000  0.43
4 La 0.0000 0.5000 0.0000  0.07
5 La 0.5000 0.0000 0.0000  0.07

symmetry: P4/mmm
V: 122 Å³ per cell
formation energy from raw total energies: -0.90 eV/atom

No. 11
A plane-wave DFT calculation with PBE was carried out for an optimized crystal structure of SrLaN3.

a = 4.3765 Å, b = 4.3765 Å, c = 4.3765 Å
α = 90.00°, β = 90.00°, γ = 90.00°
Site moments in Bohr magnetons follow the coordinates.
Element x y z (fractional)
1 Sr 0.0000 0.0000 0.0000  0.04
2 N 0.0000 0.5000 0.0000  0.12
3 N 0.0000 0.0000 0.5000  0.10
4 N 0.5000 0.0000 0.0000  0.06
5 La 0.5000 0.5000 0.5000  -0.01

symmetry: Pm-3m
V: 84 Å³ per cell
formation energy from raw total energies: 0.88 eV/atom

No. 12
A plane-wave DFT calculation with PBE was carried out for an optimized crystal structure of Sr3LaN.

a = 5.5142 Å, b = 5.5142 Å, c = 5.5142 Å
α = 90.00°, β = 90.00°, γ = 90.00°
Element x y z (fractional)
1 Sr 0.0000 0.5000 0.0000
2 Sr 0.0000 0.0000 0.5000
3 Sr 0.5000 0.0000 0.0000
4 N 0.0000 0.0000 0.0000
5 La 0.5000 0.5000 0.5000

symmetry: Pm-3m
relative energy among the computed polymorphs: 0 meV/atom
V: 168 Å³ per cell
formation energy from raw total energies: 0.01 eV/atom

No. 13
A plane-wave DFT calculation with PBE was carried out for an optimized crystal structure of Sr2La2N.

a = 3.9828 Å, b = 3.9828 Å, c = 10.3762 Å
α = 78.94°, β = 78.94°, γ = 90.00°
Element x y z (fractional)
1 Sr 0.7500 0.2500 0.5000
2 Sr 0.2500 0.7500 0.5000
3 N 0.0000 0.0000 0.0000
4 La 0.4260 0.4260 0.1480
5 La 0.5740 0.5740 0.8520

symmetry: I4/mmm
relative energy among the computed polymorphs: 995 meV/atom
V: 158 Å³ per cell
formation energy from raw total energies: 0.97 eV/atom

No. 14
A plane-wave DFT calculation with PBE was carried out for an optimized crystal structure of SrLa3N.

a = 5.3358 Å, b = 5.3358 Å, c = 5.3358 Å
α = 90.00°, β = 90.00°, γ = 90.00°
Element x y z (fractional)
1 Sr 0.5000 0.5000 0.5000
2 N 0.0000 0.0000 0.0000
3 La 0.0000 0.5000 0.0000
4 La 0.0000 0.0000 0.5000
5 La 0.5000 0.0000 0.0000

symmetry: Pm-3m
relative energy among the computed polymorphs: 0 meV/atom
V: 152 Å³ per cell
formation energy from raw total energies: -0.37 eV/atom

No. 15
A plane-wave DFT calculation with PBE was carried out for an optimized crystal structure of Sr2La2N.

a = 7.0359 Å, b = 7.0359 Å, c = 7.4405 Å
α = 90.00°, β = 90.00°, γ = 90.00°
Element x y z (fractional)
1 Sr 0.1781 0.6781 0.5000
2 Sr 0.6781 0.8219 0.5000
3 Sr 0.8219 0.3219 0.5000
4 Sr 0.3219 0.1781 0.5000
5 N 0.0000 0.0000 0.0000
6 N 0.5000 0.5000 0.0000
7 La 0.3018 0.8018 0.0000
8 La 0.8018 0.6982 0.0000
9 La 0.6982 0.1982 0.0000
10 La 0.1982 0.3018 0.0000

symmetry: P4/mbm
relative energy among the computed polymorphs: 0 meV/atom
V: 368 Å³ per cell
formation energy from raw total energies: -0.03 eV/atom

No. 16
A plane-wave DFT calculation with PBE was carried out for an optimized crystal structure of SrLaN3.

a = 4.3948 Å, b = 4.3948 Å, c = 4.3948 Å
α = 90.00°, β = 90.00°, γ = 90.00°
Element x y z (fractional)
1 Sr 0.5000 0.5000 0.5000
2 N 0.0000 0.5000 0.0000
3 N 0.0000 0.0000 0.5000
4 N 0.5000 0.0000 0.0000
5 La 0.0000 0.0000 0.0000

symmetry: Pm-3m
V: 85 Å³ per cell
formation energy from raw total energies: 0.34 eV/atom

No. 17
A plane-wave DFT calculation with PBE was carried out for an optimized crystal structure of SrLa2N.

a = 7.6874 Å, b = 7.6874 Å, c = 7.6230 Å
α = 59.72°, β = 59.72°, γ = 90.00°
Element x y z (fractional)
1 Sr 0.0000 0.0000 0.0000
2 Sr 0.7500 0.2500 0.5000
3 N 0.5000 0.5000 0.0000
4 N 0.2500 0.7500 0.5000
5 La 0.4237 0.1250 0.2500
6 La 0.3263 0.6250 0.2500
7 La 0.3750 0.5763 0.7500
8 La 0.8750 0.6737 0.7500

symmetry: I-42d
V: 316 Å³ per cell
formation energy from raw total energies: -0.50 eV/atom

No. 18
A plane-wave DFT calculation with PBE was carried out for an optimized crystal structure of Sr2LaN.

a = 7.7460 Å, b = 7.7460 Å, c = 7.6252 Å
α = 59.47°, β = 59.47°, γ = 90.00°
Site moments in Bohr magnetons follow the coordinates.
Element x y z (fractional)
1 Sr 0.4452 0.1250 0.2500  0.04
2 Sr 0.3048 0.6250 0.2500  0.04
3 Sr 0.3750 0.5548 0.7500  0.04
4 Sr 0.8750 0.6952 0.7500  0.04
5 N 0.5000 0.5000 0.0000  0.02
6 N 0.2500 0.7500 0.5000  0.02
7 La 0.0000 0.0000 0.0000  0.65
8 La 0.7500 0.2500 0.5000  0.65

symmetry: I-42d
V: 318 Å³ per cell
formation energy from raw total energies: 0.15 eV/atom

No. 19
A plane-wave DFT calculation with PBE was carried out for an optimized crystal structure of Sr5LaN4.

a = 3.8094 Å, b = 7.7956 Å, c = 8.5773 Å
α = 79.01°, β = 102.83°, γ = 90.00°
Element x y z (fractional)
1 Sr 0.8330 0.8640 0.6659
2 Sr 0.8476 0.2911 0.6952
3 Sr 0.1524 0.7089 0.3048
4 Sr 0.5000 0.5000 0.0000
5 Sr 0.1670 0.1360 0.3341
6 La 0.5000 0.0000 0.0000
7 N 0.3378 0.0831 0.6757
8 N 0.9983 0.7573 0.9965
9 N 0.6622 0.9169 0.3243
10 N 0.0017 0.2427 0.0035

symmetry: C2/m
V: 244 Å³ per cell
formation energy from raw total energies: -0.64 eV/atom

No. 20
A plane-wave DFT calculation with PBE was carried out for an optimized crystal structure of Sr2LaN.

a = 3.7363 Å, b = 3.7363 Å, c = 10.8816 Å
α = 80.11°, β = 80.11°, γ = 60.00°
Site moments in Bohr magnetons follow the coordinates.
Element x y z (fractional)
1 Sr 0.1229 0.1229 0.6314  0.00
2 Sr 0.8771 0.8771 0.3686  0.00
3 N 0.5000 0.5000 0.5000  0.01
4 La 0.0000 0.0000 0.0000  0.19

symmetry: R-3m
V: 129 Å³ per cell
formation energy from raw total energies: -0.27 eV/atom

No. 21
A plane-wave DFT calculation with PBE was carried out for an optimized crystal structure of Sr3LaN.

a = 6.8886 Å, b = 6.8886 Å, c = 6.8886 Å
α = 90.00°, β = 90.00°, γ = 90.00°
Site moments in Bohr magnetons follow the coordinates.
Element x y z (fractional)
1 Sr 0.0000 0.5000 0.0000  0.14
2 Sr 0.0000 0.0000 0.5000  0.15
3 Sr 0.5000 0.0000 0.0000  0.09
4 N 0.5000 0.5000 0.5000  1.66
5 La 0.0000 0.0000 0.0000  0.82

symmetry: Pm-3m
relative energy among the computed polymorphs: 1699 meV/atom
V: 327 Å³ per cell
formation energy from raw total energies: 1.71 eV/atom

No. 22
A plane-wave DFT calculation with PBE was carried out for an optimized crystal structure of SrLa2N.

a = 3.7500 Å, b = 3.7500 Å, c = 10.6249 Å
α = 79.84°, β = 79.84°, γ = 60.00°
Element x y z (fractional)
1 Sr 0.0000 0.0000 0.0000
2 N 0.5000 0.5000 0.5000
3 La 0.1222 0.1222 0.6334
4 La 0.8778 0.8778 0.3666

symmetry: R-3m
V: 127 Å³ per cell
formation energy from raw total energies: -0.57 eV/atom

No. 23
A plane-wave DFT calculation with PBE was carried out for an optimized crystal structure of SrLa3N.

a = 5.7811 Å, b = 5.7811 Å, c = 5.7811 Å
α = 90.00°, β = 90.00°, γ = 90.00°
Site moments in Bohr magnetons follow the coordinates.
Element x y z (fractional)
1 Sr 0.0000 0.0000 0.0000  -0.03
2 N 0.5000 0.5000 0.5000  0.81
3 La 0.0000 0.5000 0.0000  -0.12
4 La 0.0000 0.0000 0.5000  -0.14
5 La 0.5000 0.0000 0.0000  -0.13

symmetry: Pm-3m
relative energy among the computed polymorphs: 2296 meV/atom
V: 193 Å³ per cell
formation energy from raw total energies: 1.92 eV/atom

No. 24
A plane-wave DFT calculation with PBE was carried out for an optimized crystal structure of SrLa2TaN4.

a = 3.5698 Å, b = 6.5471 Å, c = 12.9829 Å
α = 90.00°, β = 90.00°, γ = 105.82°
Element x y z (fractional)
1 Sr 0.1011 0.2022 0.7500
2 Sr 0.8989 0.7978 0.2500
3 La 0.3688 0.7377 0.5326
4 La 0.6312 0.2623 0.0326
5 La 0.6312 0.2623 0.4674
6 La 0.3688 0.7377 0.9674
7 Ta 0.8298 0.6597 0.7500
8 Ta 0.1702 0.3403 0.2500
9 N 0.2648 0.5296 0.1341
10 N 0.7352 0.4704 0.6341
11 N 0.7352 0.4704 0.8659
12 N 0.2648 0.5296 0.3659
13 N 0.0000 0.0000 0.5000
14 N 0.0000 0.0000 0.0000
15 N 0.4126 0.8251 0.7500
16 N 0.5874 0.1749 0.2500

symmetry: Cmcm
V: 292 Å³ per cell
formation energy from raw total energies: -1.14 eV/atom